(1)
Material: Pm2Pd3
Method: DFT, PBE
State: relaxed

Values from the calculation:
calculated formation energy: -344 kJ/mol of formula units
electronic total energy: -5.730 eV per atom
ΔE to the lowest computed polymorph: 0.0 meV/atom

Cell: 4.5059 4.5059 19.9281 Å, 90.00 90.00 120.00°
Space group R-3m (No. 166, hexagonal axes)
Symmetry-distinct sites (fractional):
Pm (0.0000, 0.0000, 0.0898)
Pd (0.0000, 0.0000, 0.3506)
Pd (0.0000, 0.0000, 0.5000)

=====

(2)
Material: SrSi4
Method: DFT, PBE
State: relaxed

Values from the calculation:
electronic total energy: -2.685 eV per atom

Cell: 5.431 5.431 5.431 Å, 90.00 90.00 90.00°
Space group Pm-3m (No. 221)
Symmetry-distinct sites (fractional):
Sr (0.000, 0.000, 0.000)
Si (0.000, 0.000, 0.500)
Si (0.500, 0.500, 0.500)

=====

(3)
Material: Tl2AgSb
Method: DFT, PBE
State: relaxed

Values from the calculation:
electronic total energy: -2.788 eV per atom
ΔE to the lowest computed polymorph: 133.1 meV/atom

Cell: 6.181 10.695 3.324 Å, 90.00 90.19 90.00°
Space group C2/m (No. 12)
Symmetry-distinct sites (fractional):
Tl (0.250, 0.250, 0.000)
Ag (0.000, 0.000, 0.500)
Sb (0.000, 0.500, 0.500)

=====

(4)
Material: Ce3TlAu5
Method: DFT, PBE
State: relaxed

Values from the calculation:
calculated formation energy: -515 kJ/mol of formula units
electronic total energy: -4.654 eV per atom

Cell: 8.8882 8.8882 6.3186 Å, 90.00 90.00 120.00°
Space group P6_3/mcm (No. 193)
Symmetry-distinct sites (fractional):
Ce (0.0000, 0.3517, 0.2500)
Tl (0.0000, 0.0000, 0.0000)
Au (0.0000, 0.3178, 0.7500)
Au (0.3333, 0.6667, 0.0000)